(1)
DFT (PBE) results for MgMn2TlN after structural relaxation.

Unit cell a=4.6478 b=5.1608 c=4.6478 alpha=90.00 beta=90.00 gamma=90.00
With the nearest neighbours (Å) after each atom.
Atoms (fractional coordinates):
1 Mg 0.0000 0.0000 0.0000  4 Mn 2.32, 2 Tl 2.58
2 Mn 0.5000 0.0000 0.0000  2 Mg 2.32
3 N 0.5000 0.5000 0.5000  4 Tl 3.29, 8 Mn 3.47
4 Tl 0.0000 0.5000 0.0000  2 Mg 2.58
5 Mn 0.0000 0.0000 0.5000  2 Mg 2.32

Output
E_tot in eV per cell: -16.80
V in Å³ per cell: 111
Size of the total moment in μB per formula unit: 2.126

---

(2)
DFT (PBE) results for Mg2UMn3N6 after structural relaxation.

Unit cell a=5.2923 b=5.2923 c=5.1857 alpha=99.75 beta=99.75 gamma=120.09
With the nearest neighbours (Å) after each atom.
Atoms (fractional coordinates):
1 U 0.0000 0.0000 0.0000  6 N 2.23
2 Mn 0.1740 0.8260 0.5000  6 N 2.01-2.14
3 N 0.2469 0.2469 0.7269  3 Mn 2.06-2.14, 2 Mg 2.20, 1 U 2.23
4 Mg 0.6661 0.3339 0.0000  6 N 2.19-2.20
5 Mn 0.5000 0.5000 0.5000  6 N 2.06-2.10
6 N 0.4295 0.0911 0.2719  3 Mn 2.01-2.10, 2 Mg 2.19-2.20, 1 U 2.23
7 N 0.0911 0.4295 0.2719  3 Mn 2.01-2.10, 2 Mg 2.19-2.20, 1 U 2.23
8 N 0.7531 0.7531 0.2731  3 Mn 2.06-2.14, 2 Mg 2.20, 1 U 2.23
9 N 0.5705 0.9089 0.7281  3 Mn 2.01-2.10, 2 Mg 2.19-2.20, 1 U 2.23
10 N 0.9089 0.5705 0.7281  3 Mn 2.01-2.10, 2 Mg 2.19-2.20, 1 U 2.23
11 Mg 0.3339 0.6661 0.0000  6 N 2.19-2.20
12 Mn 0.8260 0.1740 0.5000  6 N 2.01-2.14

Output
E_tot in eV per cell: -100.34
V in Å³ per cell: 118
Size of the total moment in μB per formula unit: 6.399

---

(3)
DFT (PBE) results for Mg2Mn2WN6 after structural relaxation.

Unit cell a=5.0829 b=5.0829 c=5.3894 alpha=99.58 beta=99.58 gamma=119.74
With the nearest neighbours (Å) after each atom.
Atoms (fractional coordinates):
1 N 0.5895 0.9340 0.2822  2 Mn 1.99-2.05, 1 W 2.05, 1 Mg 2.16
2 N 0.0660 0.4105 0.7178  2 Mn 1.99-2.05, 1 W 2.05, 1 Mg 2.16
3 N 0.4105 0.0660 0.7178  2 Mn 1.99-2.05, 1 W 2.05, 1 Mg 2.16
4 N 0.2521 0.2521 0.2809  1 W 2.01, 2 Mn 2.02, 2 Mg 2.22
5 Mg 0.1707 0.8293 0.0000  6 N 2.16-2.24
6 Mn 0.6645 0.3355 0.5000  6 N 1.99-2.05
7 N 0.9340 0.5895 0.2822  2 Mn 1.99-2.05, 1 W 2.05, 1 Mg 2.16
8 Mn 0.3355 0.6645 0.5000  6 N 1.99-2.05
9 W 0.0000 0.0000 0.5000  6 N 2.01-2.05
10 N 0.7479 0.7479 0.7191  1 W 2.01, 2 Mn 2.02, 2 Mg 2.22
11 Mg 0.8293 0.1707 0.0000  6 N 2.16-2.24

Output
E_tot in eV per cell: -89.10
V in Å³ per cell: 114
Size of the total moment in μB per formula unit: 5.996

---

(4)
DFT (PBE) results for Mg2MnWN4 after structural relaxation.

Unit cell a=4.7244 b=4.7244 c=5.7720 alpha=114.16 beta=114.16 gamma=90.00
With the nearest neighbours (Å) after each atom.
Atoms (fractional coordinates):
1 N 0.8474 0.3849 0.2323  1 W 1.89, 2 Mg 2.10, 1 Mn 2.10
2 Mg 0.2500 0.7500 0.5001  4 N 2.10
3 Mn 0.0000 0.0000 0.0001  4 N 2.10
4 W 0.5000 0.5000 0.0001  4 N 1.89
5 Mg 0.7500 0.2500 0.5001  4 N 2.10
6 N 0.6152 0.6152 0.7679  1 W 1.89, 2 Mg 2.10, 1 Mn 2.10
7 N 0.3849 0.8474 0.2323  1 W 1.89, 2 Mg 2.10, 1 Mn 2.10
8 N 0.1527 0.1527 0.7679  1 W 1.89, 2 Mg 2.10, 1 Mn 2.10

Output
E_tot in eV per cell: -63.73
V in Å³ per cell: 105
Size of the total moment in μB per formula unit: 5.000

---

(5)
DFT (PBE) results for MgMnZn2N4 after structural relaxation.

Unit cell a=5.2620 b=5.5662 c=6.4781 alpha=90.00 beta=90.00 gamma=90.00
With the nearest neighbours (Å) after each atom.
Atoms (fractional coordinates):
1 N 0.8871 0.3225 0.7768  1 Mn 1.76
2 Zn 0.5016 0.3307 0.7472  4 N 2.03-2.05
3 Mg 0.9954 0.1541 0.5000  4 N 2.09-2.12
4 Mn 0.4994 0.8237 0.5000  4 N 1.74-1.76
5 N 0.8976 0.8758 0.0000  1 Mn 1.76
6 Zn 0.5016 0.3307 0.2528  4 N 2.03-2.05
7 Mg 0.4954 0.8459 0.0000  4 N 2.09-2.12
8 Mn 0.9994 0.1763 0.0000  4 N 1.74-1.76
9 N 0.8302 0.8122 0.5000  1 Mn 1.74
10 N 0.8871 0.3225 0.2232  1 Mn 1.76
11 N 0.3871 0.6775 0.7232  1 Mn 1.76
12 Zn 0.0016 0.6693 0.2472  4 N 2.03-2.05
13 N 0.3976 0.1242 0.5000  1 Mn 1.76
14 N 0.3302 0.1878 0.0000  1 Mn 1.74
15 N 0.3871 0.6775 0.2768  1 Mn 1.76
16 Zn 0.0016 0.6693 0.7528  4 N 2.03-2.05

Output
E_tot in eV per cell: -96.09
V in Å³ per cell: 190
Size of the total moment in μB per formula unit: 1.004

---

(6)
DFT (PBE) results for MgMnZnN2 after structural relaxation.

Unit cell a=3.6505 b=5.2843 c=3.6505 alpha=90.00 beta=90.00 gamma=90.00
With the nearest neighbours (Å) after each atom.
Atoms (fractional coordinates):
1 Mn 0.0000 0.0000 0.0000  4 N 1.83
2 Zn 0.5000 0.5000 0.5000  4 Mg 2.58
3 Mg 0.0000 0.5000 0.0000  4 Zn 2.58, 2 Mn 2.64
4 N 0.0000 0.0000 0.5000  2 Mn 1.83
5 N 0.5000 0.0000 0.0000  2 Mn 1.83

Output
E_tot in eV per cell: -25.43
V in Å³ per cell: 70
Size of the total moment in μB per formula unit: 0.000

---

(7)
DFT (PBE) results for Mg2MnZnN after structural relaxation.

Unit cell a=4.2879 b=4.2879 c=3.9270 alpha=90.00 beta=90.00 gamma=90.00
With the nearest neighbours (Å) after each atom.
Atoms (fractional coordinates):
1 Mg 0.0000 0.5000 0.0000  2 N 2.14
2 N 0.0000 0.0000 0.0000  2 Mn 1.96, 4 Mg 2.14
3 Mg 0.5000 0.0000 0.0000  2 N 2.14
4 Zn 0.5000 0.5000 0.5000  8 Mg 2.91, 4 Mn 3.03
5 Mn 0.0000 0.0000 0.5000  2 N 1.96

Output
E_tot in eV per cell: -23.15
V in Å³ per cell: 72
Size of the total moment in μB per formula unit: 3.082

---

(8)
DFT (PBE) results for NaMg3Mn after structural relaxation.

Unit cell a=5.2241 b=5.2241 c=5.2241 alpha=90.00 beta=90.00 gamma=90.00
With the nearest neighbours (Å) after each atom.
Atoms (fractional coordinates):
1 Mn 0.0000 0.0000 0.0000  6 Mg 2.61
2 Mg 0.5000 0.0000 0.0000  2 Mn 2.61
3 Na 0.5000 0.5000 0.5000  12 Mg 3.69
4 Mg 0.0000 0.0000 0.5000  2 Mn 2.61
5 Mg 0.0000 0.5000 0.0000  2 Mn 2.61

Output
E_tot in eV per cell: -12.81
V in Å³ per cell: 143
Size of the total moment in μB per formula unit: 3.457
Energy of formation in eV per atom: 0.492

---

(9)
DFT (PBE) results for NaMgMn2 after structural relaxation.

Unit cell a=3.6398 b=3.6398 c=10.2280 alpha=79.75 beta=79.75 gamma=90.00
With the nearest neighbours (Å) after each atom.
Atoms (fractional coordinates):
1 Mn 0.7018 0.1250 0.2500  2 Mn 2.21
2 Mn 0.8750 0.9518 0.7500  2 Mn 2.21
3 Mg 0.7500 0.2500 0.5000  4 Na 2.57, 4 Mn 2.71
4 Mn 0.3750 0.2982 0.7500  2 Mn 2.21
5 Mg 0.0000 0.0000 0.0000  4 Na 2.57, 4 Mn 2.71
6 Na 0.2500 0.7500 0.5000  4 Mg 2.57
7 Mn 0.0482 0.6250 0.2500  2 Mn 2.21
8 Na 0.5000 0.5000 0.0000  4 Mg 2.57

Output
E_tot in eV per cell: -33.71
V in Å³ per cell: 131
Size of the total moment in μB per formula unit: 0.000
Energy of formation in eV per atom: 1.099

---

(10)
DFT (PBE) results for NaMgMn3 after structural relaxation.

Unit cell a=5.0118 b=5.0118 c=5.0118 alpha=90.00 beta=90.00 gamma=90.00
With the nearest neighbours (Å) after each atom.
Atoms (fractional coordinates):
1 Mg 0.0000 0.0000 0.0000  6 Mn 2.51
2 Mn 0.0000 0.0000 0.5000  2 Mg 2.51
3 Mn 0.0000 0.5000 0.0000  2 Mg 2.51
4 Na 0.5000 0.5000 0.5000  12 Mn 3.54
5 Mn 0.5000 0.0000 0.0000  2 Mg 2.51

Output
E_tot in eV per cell: -24.11
V in Å³ per cell: 126
Size of the total moment in μB per formula unit: 12.383
Energy of formation in eV per atom: 1.262

---

(11)
DFT (PBE) results for NaMgMn3 after structural relaxation.

Unit cell a=4.7934 b=4.7934 c=4.7934 alpha=90.00 beta=90.00 gamma=90.00
With the nearest neighbours (Å) after each atom.
Atoms (fractional coordinates):
1 Mn 0.0000 0.0000 0.5000  2 Na 2.40
2 Na 0.0000 0.0000 0.0000  6 Mn 2.40
3 Mg 0.5000 0.5000 0.5000  12 Mn 3.39
4 Mn 0.5000 0.0000 0.0000  2 Na 2.40
5 Mn 0.0000 0.5000 0.0000  2 Na 2.40

Output
E_tot in eV per cell: -22.85
V in Å³ per cell: 110
Size of the total moment in μB per formula unit: 11.640
Energy of formation in eV per atom: 1.515

---

> Which value of E_tot does entry 6 give?

-25.43 eV per cell